Material: Tb3In
Method: DFT, GGA-PBE
State: optimized geometry

Computed properties:
The energy relative to the elements comes out at -0.125 eV/atom.

Cell lengths 7.7315, 7.7315, 7.7315 Å; angles 90.00, 90.00, 90.00 degrees
Space group Fm-3m (No. 225)
Symmetry-distinct sites (fractional):
1 Tb 0.0000 0.0000 0.0000 (multiplicity 4)
2 Tb 0.2500 0.2500 0.2500 (multiplicity 8)
3 In 0.0000 0.0000 0.5000 (multiplicity 4)

Material: UCdAsO6
Method: DFT, GGA-PBE
State: optimized geometry

Computed properties:
The formation energy without anion corrections is -1.86 eV/atom.

Cell lengths 5.4063, 5.4063, 9.5276 Å; angles 90.00, 90.00, 120.00 degrees
Space group P-31c (No. 163)
Symmetry-distinct sites (fractional):
1 U 0.3333 0.6667 0.2500 (multiplicity 2)
2 Cd 0.0000 0.0000 0.0000 (multiplicity 2)
3 As 0.3333 0.6667 0.7500 (multiplicity 2)
4 O 0.0406 0.3828 0.6397 (multiplicity 12)

Which formula does entry 1 have? Tb3In

What did the first record say?
Material: Tb3In
Method: DFT, GGA-PBE
State: optimized geometry

Computed properties:
The energy relative to the elements comes out at -0.125 eV/atom.

Cell lengths 7.7315, 7.7315, 7.7315 Å; angles 90.00, 90.00, 90.00 degrees
Space group Fm-3m (No. 225)
Symmetry-distinct sites (fractional):
1 Tb 0.0000 0.0000 0.0000 (multiplicity 4)
2 Tb 0.2500 0.2500 0.2500 (multiplicity 8)
3 In 0.0000 0.0000 0.5000 (multiplicity 4)